[1]
Here is a relaxed structure of K2Hg2Pd from the Alexandria database. Energies are from PBE.

a = 4.925 Å, b = 4.925 Å, c = 15.998 Å
α = 98.86°, β = 98.86°, γ = 90.00°
Positions (direct):
1 K 0.822 0.822 0.644
2 K 0.572 0.072 0.144
3 K 0.928 0.428 0.856
4 K 0.178 0.178 0.356
5 Hg 0.460 0.960 0.921
6 Hg 0.710 0.710 0.421
7 Hg 0.290 0.290 0.579
8 Hg 0.040 0.540 0.079
9 Pd 0.500 0.500 0.000
10 Pd 0.250 0.750 0.500

**Total moment**: 0.00 μB per formula unit
**Mass density**: 5.1 g/cm3
**Volume**: 379 Å³/cell
**Raw total energy**: -0.130 Ry per atom
**E above lowest polymorph**: 51 meV per atom
**Space-group type**: I4_1/amd
**Energy relative to the elements**: -172 meV per atom

[2]
Here is a relaxed structure of Sm2Si5Rh from the Alexandria database. Energies are from PBE.

a = 6.070 Å, b = 6.070 Å, c = 6.070 Å
α = 86.37°, β = 122.12°, γ = 122.12°
Positions (direct):
1 Sm 0.500 0.229 0.729
2 Sm 0.500 0.729 0.229
3 Si 0.418 0.697 0.697
4 Si 0.000 0.697 0.280
5 Si 0.000 0.280 0.697
6 Si 0.582 0.280 0.280
7 Si 0.000 0.288 0.288
8 Rh 0.000 0.021 0.021

**Total moment**: 0.00 μB per formula unit
**Mass density**: 5.9 g/cm3
**Volume**: 153 Å³/cell
**Formation energy (no corrections)**: -0.580 eV per atom
**Raw total energy**: -0.446 Ry per atom
**Space-group type**: I4mm

[3]
Here is a relaxed structure of AgSn4 from the Alexandria database. Energies are from PBE.

a = 5.364 Å, b = 5.364 Å, c = 5.364 Å
α = 90.00°, β = 90.00°, γ = 90.00°
Positions (direct):
1 Sn 0.000 0.000 0.000
2 Sn 0.500 0.000 0.500
3 Sn 0.000 0.500 0.500
4 Sn 0.500 0.500 0.000
5 Ag 0.500 0.500 0.500

**Total moment**: 0.00 μB per formula unit
**Mass density**: 6.3 g/cm3
**Volume**: 154 Å³/cell
**Raw total energy**: -0.247 Ry per atom
**Space-group type**: Pm-3m
**Energy relative to the elements**: 415 meV per atom

[4]
Here is a relaxed structure of KSb4F13 from the Alexandria database. Energies are from PBE.

a = 7.835 Å, b = 7.835 Å, c = 7.835 Å
α = 98.01°, β = 98.01°, γ = 136.15°
Positions (direct):
1 F 0.000 0.000 0.000
2 F 0.114 0.424 0.537
3 F 0.886 0.576 0.463
4 F 0.576 0.114 0.690
5 F 0.424 0.886 0.310
6 F 0.645 0.556 0.687
7 F 0.869 0.957 0.313
8 F 0.957 0.645 0.088
9 F 0.556 0.869 0.912
10 F 0.355 0.444 0.313
11 F 0.131 0.043 0.687
12 F 0.043 0.355 0.912
13 F 0.444 0.131 0.088
14 K 0.500 0.500 0.000
15 Sb 0.732 0.999 0.732
16 Sb 0.268 0.001 0.268
17 Sb 0.001 0.732 0.733
18 Sb 0.999 0.268 0.267

**Total moment**: 0.00 μB per formula unit
**Mass density**: 4.2 g/cm3
**Volume**: 309 Å³/cell
**Formation energy (no corrections)**: -2.385 eV per atom
**Raw total energy**: -0.346 Ry per atom
**E above lowest polymorph**: 68 meV per atom
**Space-group type**: I4/m

[5]
Here is a relaxed structure of Cs2RbTl2Te4 from the Alexandria database. Energies are from PBE.

a = 5.641 Å, b = 8.191 Å, c = 9.968 Å
α = 107.72°, β = 106.44°, γ = 90.00°
Positions (direct):
1 Cs 0.141 0.575 0.282
2 Cs 0.859 0.425 0.718
3 Rb 0.000 0.000 0.000
4 Tl 0.666 0.992 0.333
5 Tl 0.334 0.008 0.667
6 Te 0.205 0.170 0.411
7 Te 0.795 0.830 0.589
8 Te 0.522 0.688 0.043
9 Te 0.478 0.312 0.957

**Total moment**: 0.00 μB per formula unit
**Mass density**: 5.0 g/cm3
**Volume**: 419 Å³/cell
**Formation energy (no corrections)**: -0.688 eV per atom
**Raw total energy**: -0.214 Ry per atom
**Space-group type**: C2/m

[6]
Here is a relaxed structure of CuGe2S4 from the Alexandria database. Energies are from PBE.

a = 5.396 Å, b = 5.396 Å, c = 5.214 Å
α = 90.00°, β = 90.00°, γ = 90.00°
Positions (direct):
1 Cu 0.000 0.000 0.000
2 Ge 0.500 0.000 0.500
3 Ge 0.000 0.500 0.500
4 S 0.745 0.255 0.761
5 S 0.255 0.255 0.239
6 S 0.255 0.745 0.761
7 S 0.745 0.745 0.239

**Total moment**: 0.00 μB per formula unit
**Mass density**: 3.7 g/cm3
**Volume**: 152 Å³/cell
**Formation energy (no corrections)**: -0.216 eV per atom
**Raw total energy**: -0.329 Ry per atom
**E above lowest polymorph**: 0 meV per atom
**Space-group type**: P-42m

[7]
Here is a relaxed structure of AlV4W2 from the Alexandria database. Energies are from PBE.

a = 4.376 Å, b = 4.376 Å, c = 6.970 Å
α = 71.71°, β = 71.71°, γ = 90.00°
Positions (direct):
1 Al 0.000 0.000 0.000
2 W 0.380 0.380 0.239
3 W 0.620 0.620 0.761
4 V 0.192 0.192 0.615
5 V 0.808 0.808 0.385
6 V 0.000 0.500 0.000
7 V 0.500 0.000 0.000

**Total moment**: 0.00 μB per formula unit
**Mass density**: 8.3 g/cm3
**Volume**: 120 Å³/cell
**Raw total energy**: -0.607 Ry per atom
**E above lowest polymorph**: 994 meV per atom
**Space-group type**: I4/mmm
**Energy relative to the elements**: 1189 meV per atom

[8]
Here is a relaxed structure of Tl2ReBr2 from the Alexandria database. Energies are from PBE.

a = 7.873 Å, b = 7.873 Å, c = 4.984 Å
α = 90.00°, β = 90.00°, γ = 90.00°
Site moments in Bohr magnetons follow the coordinates.
Positions (direct):
1 Re 0.000 0.000 0.000  3.25
2 Re 0.500 0.500 0.000  3.25
3 Tl 0.325 0.825 0.000  0.00
4 Tl 0.825 0.675 0.000  0.01
5 Tl 0.675 0.175 0.000  0.00
6 Tl 0.175 0.325 0.000  0.01
7 Br 0.162 0.662 0.500  0.10
8 Br 0.662 0.838 0.500  0.10
9 Br 0.838 0.338 0.500  0.10
10 Br 0.338 0.162 0.500  0.10

**Total moment**: 4.25 μB per formula unit
**Mass density**: 8.1 g/cm3
**Volume**: 309 Å³/cell
**Formation energy (no corrections)**: 0.649 eV per atom
**Raw total energy**: -0.254 Ry per atom
**E above lowest polymorph**: 165 meV per atom
**Space-group type**: P4/mbm

[9]
Here is a relaxed structure of AlFeCl from the Alexandria database. Energies are from PBE.

a = 4.401 Å, b = 4.401 Å, c = 4.401 Å
α = 60.00°, β = 60.00°, γ = 60.00°
Site moments in Bohr magnetons follow the coordinates.
Positions (direct):
1 Al 0.750 0.750 0.750  -0.10
2 Fe 0.500 0.500 0.500  2.47
3 Cl 0.000 0.000 0.000  -0.01

**Total moment**: 2.28 μB per formula unit
**Mass density**: 3.3 g/cm3
**Volume**: 60 Å³/cell
**Formation energy (no corrections)**: 0.718 eV per atom
**Raw total energy**: -0.291 Ry per atom
**E above lowest polymorph**: 744 meV per atom
**Space-group type**: F-43m

[10]
Here is a relaxed structure of PuCrP from the Alexandria database. Energies are from PBE.

a = 3.400 Å, b = 6.528 Å, c = 8.069 Å
α = 90.00°, β = 90.00°, γ = 90.00°
Site moments in Bohr magnetons follow the coordinates.
Positions (direct):
1 Cr 0.750 0.427 0.921  0.05
2 Cr 0.250 0.073 0.421  0.05
3 Cr 0.250 0.573 0.079  0.05
4 Cr 0.750 0.927 0.579  0.05
5 Pu 0.750 0.419 0.576  0.26
6 Pu 0.250 0.081 0.076  0.26
7 Pu 0.250 0.581 0.424  0.26
8 Pu 0.750 0.919 0.924  0.26
9 P 0.750 0.359 0.220  0.00
10 P 0.250 0.141 0.720  0.00
11 P 0.250 0.641 0.780  0.00
12 P 0.750 0.859 0.280  0.00

**Total moment**: 0.31 μB per formula unit
**Mass density**: 12.1 g/cm3
**Volume**: 179 Å³/cell
**Raw total energy**: -0.739 Ry per atom
**Space-group type**: Pnma
**Energy relative to the elements**: -271 meV per atom

[11]
Here is a relaxed structure of RbNa2CrSe4 from the Alexandria database. Energies are from PBE.

a = 6.901 Å, b = 6.901 Å, c = 6.901 Å
α = 113.99°, β = 113.99°, γ = 100.77°
Site moments in Bohr magnetons follow the coordinates.
Positions (direct):
1 Rb 0.500 0.500 0.000  0.00
2 Na 0.750 0.250 0.500  0.00
3 Na 0.250 0.750 0.500  0.00
4 Cr 0.000 0.000 0.000  1.21
5 Se 0.678 0.678 0.647  -0.06
6 Se 0.970 0.322 0.000  -0.06
7 Se 0.322 0.970 0.000  -0.06
8 Se 0.030 0.030 0.353  -0.06

**Total moment**: 1.00 μB per formula unit
**Mass density**: 3.3 g/cm3
**Volume**: 249 Å³/cell
**Formation energy (no corrections)**: -0.780 eV per atom
**Raw total energy**: -0.307 Ry per atom
**Space-group type**: I-42m

[12]
Here is a relaxed structure of PuPaGeN from the Alexandria database. Energies are from PBE.

a = 4.019 Å, b = 4.019 Å, c = 9.635 Å
α = 90.00°, β = 90.00°, γ = 90.00°
Site moments in Bohr magnetons follow the coordinates.
Positions (direct):
1 Pu 0.000 0.000 0.500  5.23
2 Pu 0.500 0.500 0.500  5.23
3 Pa 0.000 0.500 0.882  -0.04
4 Pa 0.500 0.000 0.118  -0.04
5 Ge 0.500 0.000 0.725  -0.09
6 Ge 0.000 0.500 0.275  -0.09
7 N 0.500 0.500 0.000  0.00
8 N 0.000 0.000 0.000  0.00

**Total moment**: 5.11 μB per formula unit
**Mass density**: 12.0 g/cm3
**Volume**: 156 Å³/cell
**Formation energy (no corrections)**: -0.924 eV per atom
**Raw total energy**: -0.744 Ry per atom
**Space-group type**: P4/nmm

[13]
Here is a relaxed structure of AcSmBiCl from the Alexandria database. Energies are from PBE.

a = 5.541 Å, b = 5.541 Å, c = 5.541 Å
α = 60.00°, β = 60.00°, γ = 60.00°
Site moments in Bohr magnetons follow the coordinates.
Positions (direct):
1 Ac 0.000 0.000 0.000  0.04
2 Bi 0.750 0.750 0.750  0.00
3 Sm 0.500 0.500 0.500  0.09
4 Cl 0.250 0.250 0.250  0.00

**Total moment**: 0.26 μB per formula unit
**Mass density**: 8.6 g/cm3
**Volume**: 120 Å³/cell
**Formation energy (no corrections)**: -1.045 eV per atom
**Raw total energy**: -0.344 Ry per atom
**Space-group type**: F-43m

[14]
Here is a relaxed structure of ScSi2BiPt from the Alexandria database. Energies are from PBE.

a = 5.278 Å, b = 5.037 Å, c = 5.278 Å
α = 90.00°, β = 90.00°, γ = 90.00°
Positions (direct):
1 Sc 0.500 0.500 0.500
2 Si 0.000 0.000 0.500
3 Si 0.500 0.000 0.000
4 Bi 0.000 0.000 0.000
5 Pt 0.000 0.500 0.000

**Total moment**: 0.00 μB per formula unit
**Mass density**: 6.0 g/cm3
**Volume**: 140 Å³/cell
**Formation energy (no corrections)**: 1.127 eV per atom
**Raw total energy**: -0.316 Ry per atom
**Space-group type**: P4/mmm

[15]
Here is a relaxed structure of AcEu2Ga from the Alexandria database. Energies are from PBE.

a = 3.819 Å, b = 3.819 Å, c = 9.509 Å
α = 90.00°, β = 90.00°, γ = 90.00°
Site moments in Bohr magnetons follow the coordinates.
Positions (direct):
1 Eu 0.000 0.000 0.813  6.86
2 Eu 0.000 0.000 0.187  6.86
3 Ac 0.500 0.500 0.500  0.04
4 Ga 0.500 0.500 0.000  -0.01

**Total moment**: 14.40 μB per formula unit
**Mass density**: 7.2 g/cm3
**Volume**: 139 Å³/cell
**Raw total energy**: -0.524 Ry per atom
**E above lowest polymorph**: 0 meV per atom
**Space-group type**: P4/mmm
**Energy relative to the elements**: -210 meV per atom

[16]
Here is a relaxed structure of VCl5 from the Alexandria database. Energies are from PBE.

a = 7.651 Å, b = 7.651 Å, c = 8.282 Å
α = 90.00°, β = 90.00°, γ = 120.00°
Positions (direct):
1 V 0.333 0.667 0.250
2 V 0.667 0.333 0.750
3 Cl 0.667 0.333 0.481
4 Cl 0.333 0.667 0.981
5 Cl 0.830 0.170 0.750
6 Cl 0.170 0.339 0.250
7 Cl 0.661 0.830 0.250
8 Cl 0.339 0.170 0.750
9 Cl 0.830 0.661 0.750
10 Cl 0.170 0.830 0.250
11 Cl 0.667 0.333 0.019
12 Cl 0.333 0.667 0.519

**Total moment**: 0.00 μB per formula unit
**Mass density**: 1.8 g/cm3
**Volume**: 420 Å³/cell
**Formation energy (no corrections)**: -0.988 eV per atom
**Raw total energy**: -0.297 Ry per atom
**Space-group type**: P6_3/mmc

[17]
Here is a relaxed structure of Pr2Al2InPd5 from the Alexandria database. Energies are from PBE.

a = 3.479 Å, b = 10.570 Å, c = 10.570 Å
α = 90.00°, β = 90.00°, γ = 90.00°
Positions (direct):
1 Pr 0.000 0.679 0.179
2 Pr 0.000 0.321 0.821
3 Pr 0.000 0.179 0.321
4 Pr 0.000 0.821 0.679
5 Al 0.000 0.121 0.621
6 Al 0.000 0.879 0.379
7 Al 0.000 0.621 0.879
8 Al 0.000 0.379 0.121
9 In 0.000 0.000 0.000
10 In 0.000 0.500 0.500
11 Pd 0.500 0.212 0.056
12 Pd 0.500 0.788 0.944
13 Pd 0.500 0.056 0.788
14 Pd 0.500 0.712 0.444
15 Pd 0.500 0.944 0.212
16 Pd 0.500 0.288 0.556
17 Pd 0.500 0.556 0.712
18 Pd 0.500 0.444 0.288
19 Pd 0.500 0.500 0.000
20 Pd 0.500 0.000 0.500

**Total moment**: 0.00 μB per formula unit
**Mass density**: 8.4 g/cm3
**Volume**: 389 Å³/cell
**Raw total energy**: -0.389 Ry per atom
**Space-group type**: P4/mbm
**Energy relative to the elements**: -713 meV per atom

[18]
Here is a relaxed structure of Fe3SbN from the Alexandria database. Energies are from PBE.

a = 3.932 Å, b = 3.932 Å, c = 3.932 Å
α = 90.00°, β = 90.00°, γ = 90.00°
Site moments in Bohr magnetons follow the coordinates.
Positions (direct):
1 Sb 0.500 0.500 0.500  -0.03
2 Fe 0.000 0.500 0.000  2.03
3 Fe 0.000 0.000 0.500  1.80
4 Fe 0.500 0.000 0.000  2.25
5 N 0.000 0.000 0.000  0.04

**Total moment**: 6.03 μB per formula unit
**Mass density**: 8.3 g/cm3
**Volume**: 61 Å³/cell
**Formation energy (no corrections)**: 0.055 eV per atom
**Raw total energy**: -0.552 Ry per atom
**E above lowest polymorph**: 0 meV per atom
**Space-group type**: Pm-3m

[19]
Here is a relaxed structure of Mg5Ag2Sn2Pd from the Alexandria database. Energies are from PBE.

a = 3.513 Å, b = 10.935 Å, c = 10.935 Å
α = 90.00°, β = 90.00°, γ = 90.00°
Positions (direct):
1 Mg 0.500 0.194 0.038
2 Mg 0.500 0.806 0.962
3 Mg 0.500 0.038 0.806
4 Mg 0.500 0.694 0.462
5 Mg 0.500 0.962 0.194
6 Mg 0.500 0.306 0.538
7 Mg 0.500 0.538 0.694
8 Mg 0.500 0.462 0.306
9 Mg 0.500 0.500 0.000
10 Mg 0.500 0.000 0.500
11 Ag 0.000 0.137 0.637
12 Ag 0.000 0.863 0.363
13 Ag 0.000 0.637 0.863
14 Ag 0.000 0.363 0.137
15 Sn 0.000 0.674 0.174
16 Sn 0.000 0.326 0.826
17 Sn 0.000 0.174 0.326
18 Sn 0.000 0.826 0.674
19 Pd 0.000 0.000 0.000
20 Pd 0.000 0.500 0.500

**Total moment**: 0.00 μB per formula unit
**Mass density**: 5.4 g/cm3
**Volume**: 420 Å³/cell
**Raw total energy**: -0.213 Ry per atom
**Space-group type**: P4/mbm
**Energy relative to the elements**: -208 meV per atom